# 1
Pr2TmRh3 PBE optimized geometry; crystal system = orthorhombic; energy of formation from the pure elements = -0.53 eV/atom
1.0
-3.738 2.109 -0.150
-0.451 -1.194 -5.554
-0.715 -5.346 4.131
Pr Tm Rh
2 1 3
direct
0.671 0.171 0.343
0.329 0.829 0.657
0.000 0.500 0.000
0.357 0.357 0.715
0.000 0.000 0.000
0.643 0.643 0.285


# 2
LaCeGd4 PBE optimized geometry; crystal system = cubic; energy of formation from the pure elements = 0.29 eV/atom
1.0
6.698 0.000 0.000
3.349 5.801 0.000
3.349 1.934 5.469
Gd Ce La
4 1 1
direct
0.626 0.626 0.123
0.626 0.123 0.626
0.626 0.626 0.626
0.123 0.626 0.626
0.000 0.000 0.000
0.250 0.250 0.250


# 3
Cs2TbHgF6 PBE optimized geometry; crystal system = orthorhombic; formation energy (no corrections) = -66.9 kcal/mol of atoms
1.0
-2.188 0.290 6.461
6.368 -1.144 2.208
1.662 9.517 0.136
Cs Tb Hg F
4 2 2 12
direct
0.500 0.750 0.250
0.000 0.250 0.750
0.500 0.750 0.750
0.000 0.250 0.250
0.500 0.249 0.500
0.000 0.751 0.000
0.000 0.750 0.500
0.500 0.250 0.000
0.500 0.249 0.273
0.500 0.249 0.727
0.000 0.751 0.227
0.000 0.751 0.773
0.272 0.022 0.500
0.728 0.022 0.500
0.272 0.476 0.500
0.728 0.476 0.500
0.772 0.524 0.000
0.228 0.524 0.000
0.228 0.978 0.000
0.772 0.978 0.000


# 4
K2BaV PBE optimized geometry; crystal system = cubic; energy of formation from the pure elements = 0.91 eV/atom
1.0
0.000 4.541 4.541
4.541 0.000 4.541
4.541 4.541 0.000
K Ba V
2 1 1
direct
0.250 0.250 0.250
0.750 0.750 0.750
0.500 0.500 0.500
0.000 0.000 0.000


# 5
Na4HgBi5 PBE optimized geometry; crystal system = tetragonal; energy of formation from the pure elements = -0.20 eV/atom
1.0
3.435 0.000 0.000
0.000 3.435 0.000
0.000 0.000 24.778
Na Hg Bi
4 1 5
direct
0.000 0.000 0.203
0.000 0.000 0.401
0.000 0.000 0.599
0.000 0.000 0.797
0.000 0.000 0.000
0.500 0.500 0.099
0.500 0.500 0.301
0.500 0.500 0.500
0.500 0.500 0.699
0.500 0.500 0.901


# 6
Pm3PrPt PBE optimized geometry; crystal system = cubic; energy of formation from the pure elements = -0.29 eV/atom
1.0
-0.333 -3.553 -4.374
-2.520 -3.825 3.299
-5.041 2.147 -1.360
Pr Pt Pm
1 1 3
direct
0.500 0.500 0.500
0.000 0.000 0.000
0.000 0.500 0.000
0.000 0.000 0.500
0.500 0.000 0.000


# 7
BSb2TeF PBE optimized geometry; crystal system = tetragonal; formation energy (no corrections) = 8.6 kcal/mol of atoms
1.0
-1.780 4.483 0.043
-2.766 -1.062 -3.806
-3.520 -1.426 2.957
Sb B Te F
2 1 1 1
direct
0.000 0.500 0.000
0.500 0.000 0.000
0.000 0.000 0.000
0.000 0.000 0.500
0.500 0.500 0.500


# 8
CaLa2TlIr PBE optimized geometry; crystal system = tetragonal; energy of formation from the pure elements = -0.28 eV/atom
1.0
-4.955 -0.688 -2.489
0.888 -5.511 -0.244
-2.362 -0.596 4.868
Tl Ir Ca La
1 1 1 2
direct
0.000 0.000 0.500
0.000 0.000 0.000
0.500 0.500 0.500
0.000 0.500 0.000
0.500 0.000 0.000


# 9
BeGaPd2Au PBE optimized geometry; crystal system = tetragonal; energy of formation from the pure elements = 1.05 eV/atom
1.0
5.079 0.000 0.000
0.000 4.668 0.000
0.000 0.000 5.079
Be Au Ga Pd
1 1 1 2
direct
0.500 0.500 0.500
0.000 0.000 0.000
0.000 0.500 0.000
0.000 0.000 0.500
0.500 0.000 0.000


# 10
CaTlTeI2 PBE optimized geometry; crystal system = tetragonal; formation energy (no corrections) = -17.2 kcal/mol of atoms
1.0
-2.807 -4.536 2.978
4.535 -0.119 4.092
-2.975 4.084 3.417
I Tl Te Ca
2 1 1 1
direct
0.000 0.500 0.000
0.500 0.000 0.000
0.500 0.500 0.500
0.000 0.000 0.500
0.000 0.000 0.000


# 11
CeNd2ThSb4 PBE optimized geometry; crystal system = monoclinic; formation energy (no corrections) = -25.4 kcal/mol of atoms
1.0
4.517 0.000 0.000
0.000 7.815 0.135
0.000 -2.730 7.331
Ce Nd Th Sb
1 2 1 4
direct
0.500 0.500 0.000
0.500 0.000 0.500
0.000 0.500 0.500
0.000 0.000 0.000
0.500 0.250 0.248
0.500 0.750 0.752
0.000 0.251 0.752
0.000 0.749 0.248


# 12
BiHPd2Ru PBE optimized geometry; crystal system = tetragonal; DFT total energy = -5.361 eV per atom
1.0
4.133 0.000 0.000
0.000 4.133 0.000
0.000 0.000 4.142
Ru Bi Pd H
1 1 2 1
direct
0.000 0.000 0.500
0.500 0.500 0.500
0.000 0.500 0.000
0.500 0.000 0.000
0.000 0.000 0.000


no.,N(E_F) (states/eV per cell),total magnetic moment (μB/atom)
1,1.763,0.000
2,19.909,5.776
3,3.580,0.097
4,8.308,1.180
5,3.521,0.000
6,10.917,0.066
7,3.462,0.000
8,4.191,0.000
9,3.265,0.000
10,4.263,0.202
11,8.710,0.115
12,2.255,0.000